Here is a relaxed structure of BaCd2S3 from the Alexandria database. Energies are from PBE-GGA.

- uncorrected formation energy (eV per atom) = -0.976
- spin magnetization (Bohr magnetons per cell) = 0.000
- E above lowest polymorph (meV/atom) = 91

abc: 3.9045 6.9652 10.9070
angles: 90.00 90.00 90.00
Fractional positions:
Ba: 0.0000 0.0014 0.8641
Ba: 0.0000 0.5014 0.1359
Cd: 0.0000 0.0093 0.2275
Cd: 0.5000 0.0132 0.5142
Cd: 0.0000 0.5093 0.7725
Cd: 0.5000 0.5132 0.4858
S: 0.5000 0.1512 0.0790
S: 0.5000 0.2676 0.6996
S: 0.0000 0.2585 0.4048
S: 0.5000 0.6512 0.9210
S: 0.5000 0.7676 0.3004
S: 0.0000 0.7585 0.5952

Here is a relaxed structure of BaCd3S from the Alexandria database. Energies are from PBE-GGA.

- uncorrected formation energy (eV per atom) = 0.009
- spin magnetization (Bohr magnetons per cell) = 0.000
- E above lowest polymorph (meV/atom) = 0

abc: 5.4531 5.4531 5.4531
angles: 90.00 90.00 90.00
Fractional positions:
S: 0.0000 0.0000 0.0000
Ba: 0.5000 0.5000 0.5000
Cd: 0.0000 0.5000 0.0000
Cd: 0.0000 0.0000 0.5000
Cd: 0.5000 0.0000 0.0000

Here is a relaxed structure of Ba2CdS from the Alexandria database. Energies are from PBE-GGA.

- uncorrected formation energy (eV per atom) = -0.898
- spin magnetization (Bohr magnetons per cell) = 0.000
- E above lowest polymorph (meV/atom) = 85

abc: 8.6673 8.6673 7.6803
angles: 55.65 55.65 90.00
Fractional positions:
S: 0.5000 0.5000 0.0000
S: 0.2500 0.7500 0.5000
Ba: 0.5773 0.1250 0.2500
Ba: 0.1727 0.6250 0.2500
Ba: 0.3750 0.4227 0.7500
Ba: 0.8750 0.8273 0.7500
Cd: 0.0000 0.0000 0.0000
Cd: 0.7500 0.2500 0.5000

Here is a relaxed structure of Ba2CdS from the Alexandria database. Energies are from PBE-GGA.

- uncorrected formation energy (eV per atom) = -0.726
- spin magnetization (Bohr magnetons per cell) = 0.000
- E above lowest polymorph (meV/atom) = 256

abc: 5.7648 5.7648 5.7648
angles: 60.00 60.00 60.00
Fractional positions:
S: 0.0000 0.0000 0.0000
Ba: 0.2500 0.2500 0.2500
Ba: 0.7500 0.7500 0.7500
Cd: 0.5000 0.5000 0.5000

Here is a relaxed structure of BaCd2S3 from the Alexandria database. Energies are from PBE-GGA.

- uncorrected formation energy (eV per atom) = -1.067
- spin magnetization (Bohr magnetons per cell) = 0.000
- E above lowest polymorph (meV/atom) = 0

abc: 6.7847 7.8421 7.8421
angles: 118.90 90.00 90.00
Fractional positions:
Ba: 0.5425 0.3080 0.3080
Ba: 0.0425 0.6920 0.6920
Cd: 0.5116 0.6580 0.0033
Cd: 0.5116 0.0033 0.6580
Cd: 0.0116 0.3420 0.9967
Cd: 0.0116 0.9967 0.3420
S: 0.1396 0.6750 0.0641
S: 0.1396 0.0641 0.6750
S: 0.6396 0.3250 0.9359
S: 0.6396 0.9359 0.3250
S: 0.0672 0.3029 0.3029
S: 0.5672 0.6971 0.6971

Here is a relaxed structure of Ba2CdSeS from the Alexandria database. Energies are from PBE-GGA.

- uncorrected formation energy (eV per atom) = -0.546
- spin magnetization (Bohr magnetons per cell) = 0.000

abc: 6.3695 4.9826 6.3695
angles: 90.00 90.00 90.00
Fractional positions:
S: 0.5000 0.5000 0.5000
Ba: 0.0000 0.0000 0.5000
Ba: 0.5000 0.0000 0.0000
Se: 0.0000 0.5000 0.0000
Cd: 0.0000 0.0000 0.0000

Here is a relaxed structure of BaCdSiS4 from the Alexandria database. Energies are from PBE-GGA.

- uncorrected formation energy (eV per atom) = -1.072
- spin magnetization (Bohr magnetons per cell) = 0.000

abc: 6.2729 6.9778 8.3891
angles: 90.00 105.58 90.00
Fractional positions:
Ba: 0.7542 0.7500 0.9346
Ba: 0.2458 0.2500 0.0654
Cd: 0.8097 0.7500 0.4718
Cd: 0.1903 0.2500 0.5282
Si: 0.2194 0.7500 0.3103
Si: 0.7806 0.2500 0.6897
S: 0.0134 0.4852 0.7177
S: 0.9866 0.9852 0.2823
S: 0.9866 0.5148 0.2823
S: 0.0134 0.0148 0.7177
S: 0.3431 0.7500 0.0997
S: 0.6569 0.2500 0.9003
S: 0.4484 0.7500 0.5469
S: 0.5516 0.2500 0.4531

Here is a relaxed structure of Ba2CdSnS5 from the Alexandria database. Energies are from PBE-GGA.

- uncorrected formation energy (eV per atom) = -1.182
- spin magnetization (Bohr magnetons per cell) = 0.000

abc: 4.0890 9.9320 12.5602
angles: 90.00 90.00 101.88
Fractional positions:
Ba: 0.8739 0.7479 0.8052
Ba: 0.1264 0.2528 0.6785
Ba: 0.1261 0.2521 0.3052
Ba: 0.8736 0.7472 0.1785
Cd: 0.7710 0.5420 0.5329
Cd: 0.2290 0.4580 0.0329
Sn: 0.5640 0.1281 0.9425
Sn: 0.4360 0.8719 0.4425
S: 0.3574 0.7147 0.9943
S: 0.6807 0.3614 0.8799
S: 0.5044 0.0087 0.7757
S: 0.2915 0.5831 0.6629
S: 0.9635 0.9270 0.5520
S: 0.6426 0.2853 0.4943
S: 0.3193 0.6386 0.3799
S: 0.4956 0.9913 0.2757
S: 0.7085 0.4169 0.1629
S: 0.0365 0.0730 0.0520

Here is a relaxed structure of BaCdSnS4 from the Alexandria database. Energies are from PBE-GGA.

- uncorrected formation energy (eV per atom) = -1.004
- spin magnetization (Bohr magnetons per cell) = 0.000

abc: 12.8523 12.9844 12.9844
angles: 61.73 74.58 105.42
Fractional positions:
Ba: 0.4971 0.2481 0.7564
Ba: 0.5029 0.7465 0.2490
Ba: 0.0029 0.0010 0.5035
Ba: 0.9971 0.4936 0.0019
Ba: 0.0000 0.7455 0.2545
Ba: 0.5000 0.9955 0.5045
Ba: 0.0000 0.2495 0.7505
Ba: 0.5000 0.4995 0.0005
Cd: 0.1484 0.2293 0.0212
Cd: 0.6484 0.2288 0.0207
Cd: 0.3516 0.3309 0.4197
Cd: 0.8516 0.8303 0.9191
Cd: 0.7225 0.7362 0.5153
Cd: 0.2775 0.7621 0.9863
Cd: 0.7775 0.2637 0.4879
Cd: 0.2225 0.7347 0.5138
Sn: 0.8626 0.5158 0.7343
Sn: 0.2770 0.0130 0.2377
Sn: 0.7770 0.0123 0.2370
Sn: 0.2230 0.9859 0.7648
Sn: 0.1374 0.4031 0.3468
Sn: 0.3626 0.5157 0.7342
Sn: 0.6374 0.9032 0.8469
Sn: 0.7230 0.4852 0.2641
S: 0.2569 0.3022 0.7793
S: 0.7431 0.9638 0.9547
S: 0.2431 0.2953 0.2862
S: 0.7569 0.4707 0.9478
S: 0.2396 0.7952 0.7865
S: 0.7604 0.9738 0.4444
S: 0.2604 0.8056 0.2762
S: 0.7396 0.4635 0.4548
S: 0.0896 0.0187 0.2325
S: 0.9104 0.6779 0.0709
S: 0.4104 0.1791 0.5721
S: 0.5896 0.0175 0.2313
S: 0.5570 0.5246 0.7267
S: 0.4430 0.7163 0.0324
S: 0.9430 0.2176 0.5337
S: 0.0570 0.5233 0.7254
S: 0.9165 0.7189 0.5337
S: 0.0835 0.5498 0.1976
S: 0.5835 0.0524 0.7002
S: 0.4165 0.7163 0.5311
S: 0.4371 0.2162 0.0363
S: 0.5629 0.5266 0.2209
S: 0.0629 0.0291 0.7234
S: 0.9371 0.2137 0.0338
S: 0.7595 0.8032 0.2793
S: 0.2405 0.9612 0.9563
S: 0.7405 0.2937 0.2888
S: 0.2595 0.9707 0.4468
S: 0.2569 0.4730 0.9461
S: 0.7431 0.7969 0.7839
S: 0.2431 0.4661 0.4531
S: 0.7569 0.3039 0.7770

Here is a relaxed structure of Ba3CdSn2S8 from the Alexandria database. Energies are from PBE-GGA.

- uncorrected formation energy (eV per atom) = -1.209
- spin magnetization (Bohr magnetons per cell) = 0.000

abc: 12.9606 12.9606 12.9606
angles: 109.64 109.64 109.13
Fractional positions:
Ba: 0.1075 0.6075 0.5000
Ba: 0.1425 0.1425 0.0000
Ba: 0.8575 0.8575 0.0000
Ba: 0.3925 0.8925 0.5000
Ba: 0.6250 0.3912 0.2662
Ba: 0.1250 0.3588 0.7338
Ba: 0.1250 0.6499 0.0249
Ba: 0.6250 0.1001 0.9751
Ba: 0.3501 0.3750 0.4751
Ba: 0.8999 0.8750 0.5249
Ba: 0.6088 0.8750 0.2338
Ba: 0.6412 0.3750 0.7662
Cd: 0.1250 0.0044 0.3794
Cd: 0.6250 0.7456 0.6206
Cd: 0.2544 0.8750 0.8794
Cd: 0.9956 0.3750 0.1206
Sn: 0.9103 0.1727 0.2924
Sn: 0.8803 0.6179 0.7076
Sn: 0.3697 0.5773 0.2376
Sn: 0.3397 0.1321 0.7624
Sn: 0.8679 0.6303 0.2076
Sn: 0.4227 0.6603 0.7924
Sn: 0.3821 0.0897 0.2624
Sn: 0.8273 0.1197 0.7376
S: 0.3520 0.5940 0.0558
S: 0.5381 0.2961 0.9442
S: 0.7119 0.1560 0.2580
S: 0.8980 0.4539 0.7420
S: 0.5461 0.2881 0.4442
S: 0.8440 0.1020 0.5558
S: 0.7039 0.6480 0.2420
S: 0.4060 0.4619 0.7580
S: 0.9027 0.9793 0.2916
S: 0.3473 0.1389 0.5766
S: 0.6877 0.6111 0.7084
S: 0.5623 0.7707 0.4234
S: 0.4043 0.6725 0.6009
S: 0.8457 0.9466 0.7682
S: 0.1784 0.0775 0.2318
S: 0.0716 0.8034 0.3991
S: 0.0534 0.8216 0.8991
S: 0.3275 0.9284 0.7318
S: 0.1966 0.5957 0.2682
S: 0.9225 0.1543 0.1009
S: 0.8611 0.4377 0.2084
S: 0.0207 0.3123 0.9234
S: 0.2293 0.6527 0.7916
S: 0.3889 0.0973 0.0766
S: 0.0976 0.3532 0.4755
S: 0.8777 0.6221 0.5245
S: 0.3723 0.3968 0.2444
S: 0.1524 0.1279 0.7556
S: 0.8721 0.6277 0.0245
S: 0.6032 0.8476 0.9755
S: 0.3779 0.9024 0.2556
S: 0.6468 0.1223 0.7444

Here is a relaxed structure of BaSr2CdS from the Alexandria database. Energies are from PBE-GGA.

- uncorrected formation energy (eV per atom) = -0.809
- spin magnetization (Bohr magnetons per cell) = 0.000

abc: 5.7386 5.7386 6.2298
angles: 90.00 90.00 90.00
Fractional positions:
Sr: 0.0000 0.5000 0.0000
Sr: 0.5000 0.0000 0.0000
S: 0.0000 0.0000 0.0000
Ba: 0.0000 0.0000 0.5000
Cd: 0.5000 0.5000 0.5000

Here is a relaxed structure of Ba2SrCdS4 from the Alexandria database. Energies are from PBE-GGA.

- uncorrected formation energy (eV per atom) = -1.634
- spin magnetization (Bohr magnetons per cell) = 0.000

abc: 8.6857 8.6857 8.5832
angles: 119.61 119.61 90.77
Fractional positions:
Ba: 0.5000 0.0000 0.0000
Ba: 0.5000 0.0000 0.5000
Ba: 0.0000 0.0000 0.5000
Ba: 0.5000 0.5000 0.0000
Sr: 0.0000 0.5000 0.0000
Sr: 0.0000 0.5000 0.5000
Cd: 0.5000 0.5000 0.5000
Cd: 0.0000 0.0000 0.0000
S: 0.2335 0.7453 0.9893
S: 0.7547 0.2665 0.5107
S: 0.2453 0.7335 0.4893
S: 0.7666 0.2547 0.0107
S: 0.7550 0.7451 0.9736
S: 0.7549 0.7450 0.5264
S: 0.2451 0.2550 0.4736
S: 0.2450 0.2549 0.0264

The lowest uncorrected formation energy belongs to which entry?
Ba2SrCdS4

Which value of spin magnetization does entry 5 give?
0.000 Bohr magnetons per cell

What did the eleventh record say?
Here is a relaxed structure of BaSr2CdS from the Alexandria database. Energies are from PBE-GGA.

- uncorrected formation energy (eV per atom) = -0.809
- spin magnetization (Bohr magnetons per cell) = 0.000

abc: 5.7386 5.7386 6.2298
angles: 90.00 90.00 90.00
Fractional positions:
Sr: 0.0000 0.5000 0.0000
Sr: 0.5000 0.0000 0.0000
S: 0.0000 0.0000 0.0000
Ba: 0.0000 0.0000 0.5000
Cd: 0.5000 0.5000 0.5000